The following is a DFT calculation (PBEsol) of a relaxed structure of CoWS2.

Cell and atoms, written as POSCAR:
```
CoWS2
1.0
1.519 0.877 7.502
-1.519 0.877 7.502
0.000 -1.754 7.502
Co W S
1 1 2
Cartesian
0.000 0.000 0.000
0.000 0.000 11.253
0.000 0.000 2.098
0.000 0.000 20.409
```

Values from the calculation:
* DFT total energy: -0.5708 Ry/atom
* excess energy over the best structure of this formula in the dataset: 0.00 eV/f.u.
* volume: 60.0 Å³ per cell
* magnetization: 1.2 Bohr magnetons per cell
* formation energy (no corrections): -0.188 eV/atom
* N(E_F): 2.6 states/eV/f.u.


The following is a DFT calculation (PBEsol) of a relaxed structure of Co3WS.

Cell and atoms, written as POSCAR:
```
Co3WS
1.0
4.387 0.000 0.000
0.000 4.387 0.000
0.000 0.000 4.387
Co W S
3 1 1
Cartesian
0.000 0.000 2.194
0.000 2.194 0.000
2.194 0.000 0.000
0.000 0.000 0.000
2.194 2.194 2.194
```

Values from the calculation:
* DFT total energy: -0.4749 Ry/atom
* excess energy over the best structure of this formula in the dataset: 5.89 eV/f.u.
* volume: 84.4 Å³ per cell
* magnetization: 1.1 Bohr magnetons per cell
* formation energy (no corrections): 1.819 eV/atom
* N(E_F): 8.9 states/eV/f.u.


The following is a DFT calculation (PBEsol) of a relaxed structure of Co3WS.

Cell and atoms, written as POSCAR:
```
Co3WS
1.0
4.006 0.000 0.000
0.000 4.006 0.000
0.000 0.000 4.006
Co W S
3 1 1
Cartesian
0.000 0.000 2.003
0.000 2.003 0.000
2.003 0.000 0.000
2.003 2.003 2.003
0.000 0.000 0.000
```

Values from the calculation:
* DFT total energy: -0.5616 Ry/atom
* excess energy over the best structure of this formula in the dataset: 0.00 eV/f.u.
* volume: 64.3 Å³ per cell
* magnetization: 3.6 Bohr magnetons per cell
* formation energy (no corrections): 0.640 eV/atom
* N(E_F): 7.5 states/eV/f.u.